<a>
Compound: KNaZn
Source: Alexandria
Functional: PBE-GGA
Structure: relaxed

abc: 4.749 7.481 12.839
angles: 90.00 90.00 90.00
Atoms (fractional coordinates):
K (0.750, 0.161, 0.724)
K (0.250, 0.661, 0.776)
K (0.250, 0.839, 0.276)
K (0.750, 0.339, 0.224)
Zn (0.750, 0.050, 0.469)
Zn (0.250, 0.550, 0.031)
Zn (0.250, 0.950, 0.531)
Zn (0.750, 0.450, 0.969)
Na (0.750, 0.665, 0.523)
Na (0.250, 0.165, 0.977)
Na (0.250, 0.335, 0.477)
Na (0.750, 0.835, 0.023)

Summary:
- V (Å³/cell) = 456.11
- crystal system = orthorhombic
- space-group type = Pnma (62)

***

<b>
Compound: KNaZn
Source: Alexandria
Functional: PBE-GGA
Structure: relaxed

abc: 4.488 5.412 5.412
angles: 120.00 90.00 90.00
Atoms (fractional coordinates):
Na (0.168, 0.000, 0.000)
Zn (0.165, 0.333, 0.667)
K (0.667, 0.667, 0.333)

Summary:
- V (Å³/cell) = 113.83
- crystal system = trigonal
- space-group type = P3m1 (156)

***

<a> has the most favorable energy; the next structure is 100 meV/atom above.

***

<a>
Compound: KNaZn3
Source: Alexandria
Functional: PBE-GGA
Structure: relaxed

abc: 6.091 6.091 6.091
angles: 90.00 90.00 90.00
Atoms (fractional coordinates):
Na (0.500, 0.500, 0.500)
Zn (0.000, 0.500, 0.000)
Zn (0.000, 0.000, 0.500)
Zn (0.500, 0.000, 0.000)
K (0.000, 0.000, 0.000)

Summary:
- V (Å³/cell) = 226.00
- crystal system = cubic
- space-group type = Pm-3m (221)

***

<b>
Compound: KNaZn3
Source: Alexandria
Functional: PBE-GGA
Structure: relaxed

abc: 5.559 5.559 5.559
angles: 90.00 90.00 90.00
Atoms (fractional coordinates):
Na (0.000, 0.000, 0.000)
Zn (0.000, 0.500, 0.000)
Zn (0.000, 0.000, 0.500)
Zn (0.500, 0.000, 0.000)
K (0.500, 0.500, 0.500)

Summary:
- V (Å³/cell) = 171.75
- crystal system = cubic
- space-group type = Pm-3m (221)

***

<b> has the most favorable energy; the next structure is 242 meV/atom above.

***

<a>
Compound: KNaZr3
Source: Alexandria
Functional: PBE-GGA
Structure: relaxed

abc: 5.313 5.313 5.313
angles: 90.00 90.00 90.00
Site moments in Bohr magnetons follow the coordinates.
Atoms (fractional coordinates):
Na (0.000, 0.000, 0.000)  0.00
K (0.500, 0.500, 0.500)  0.01
Zr (0.000, 0.500, 0.000)  0.12
Zr (0.000, 0.000, 0.500)  0.10
Zr (0.500, 0.000, 0.000)  0.27

Summary:
- V (Å³/cell) = 150.01
- crystal system = cubic
- space-group type = Pm-3m (221)

***

<b>
Compound: KNaZr3
Source: Alexandria
Functional: PBE-GGA
Structure: relaxed

abc: 5.183 5.183 5.183
angles: 90.00 90.00 90.00
Site moments in Bohr magnetons follow the coordinates.
Atoms (fractional coordinates):
Na (0.500, 0.500, 0.500)  0.01
K (0.000, 0.000, 0.000)  0.07
Zr (0.000, 0.500, 0.000)  0.40
Zr (0.000, 0.000, 0.500)  0.34
Zr (0.500, 0.000, 0.000)  0.46

Summary:
- V (Å³/cell) = 139.21
- crystal system = cubic
- space-group type = Pm-3m (221)

***

<a> has the most favorable energy; the next structure is 349 meV/atom above.

***

<a>
Compound: KNb
Source: Alexandria
Functional: PBE-GGA
Structure: relaxed

abc: 9.036 4.925 14.642
angles: 90.00 90.00 90.00
Atoms (fractional coordinates):
K (0.847, 0.250, 0.285)
K (0.347, 0.250, 0.215)
K (0.153, 0.750, 0.715)
K (0.653, 0.750, 0.785)
K (0.337, 0.250, 0.930)
K (0.837, 0.250, 0.570)
K (0.663, 0.750, 0.070)
K (0.163, 0.750, 0.430)
Nb (0.918, 0.250, 0.891)
Nb (0.418, 0.250, 0.609)
Nb (0.082, 0.750, 0.109)
Nb (0.582, 0.750, 0.391)
Nb (0.969, 0.250, 0.044)
Nb (0.469, 0.250, 0.456)
Nb (0.031, 0.750, 0.956)
Nb (0.531, 0.750, 0.544)

Summary:
- V (Å³/cell) = 651.65
- crystal system = orthorhombic
- space-group type = Pnma (62)

***

<b>
Compound: KNb
Source: Alexandria
Functional: PBE-GGA
Structure: relaxed

abc: 3.063 6.792 19.058
angles: 90.00 90.00 90.00
Atoms (fractional coordinates):
K (0.000, 0.749, 0.694)
K (0.500, 0.251, 0.806)
K (0.500, 0.251, 0.194)
K (0.000, 0.749, 0.306)
K (0.000, 0.253, 0.000)
K (0.500, 0.747, 0.500)
Nb (0.000, 0.752, 0.890)
Nb (0.500, 0.248, 0.610)
Nb (0.500, 0.248, 0.390)
Nb (0.000, 0.752, 0.110)
Nb (0.000, 0.247, 0.500)
Nb (0.500, 0.753, 0.000)

Summary:
- V (Å³/cell) = 396.51
- crystal system = orthorhombic
- space-group type = Pmmn (59)

***

<c>
Compound: KNb
Source: Alexandria
Functional: PBE-GGA
Structure: relaxed

abc: 10.074 10.074 10.074
angles: 90.00 90.00 90.00
Site moments in Bohr magnetons follow the coordinates.
Atoms (fractional coordinates):
K (0.250, 0.000, 0.500)  0.06
K (0.750, 0.000, 0.500)  0.06
K (0.000, 0.500, 0.250)  0.06
K (0.000, 0.500, 0.750)  0.06
K (0.500, 0.250, 0.000)  0.06
K (0.500, 0.750, 0.000)  0.06
Nb (0.250, 0.500, 0.000)  3.26
Nb (0.750, 0.500, 0.000)  3.26
Nb (0.500, 0.000, 0.250)  3.26
Nb (0.500, 0.000, 0.750)  3.26
Nb (0.000, 0.250, 0.500)  3.26
Nb (0.000, 0.750, 0.500)  3.26

Summary:
- V (Å³/cell) = 1022.36
- crystal system = cubic
- space-group type = Pm-3n (223)

***

<d>
Compound: KNb
Source: Alexandria
Functional: PBE-GGA
Structure: relaxed

abc: 6.984 6.984 7.098
angles: 90.00 90.00 90.00
Site moments in Bohr magnetons follow the coordinates.
Atoms (fractional coordinates):
K (0.161, 0.839, 0.000)  0.01
K (0.661, 0.661, 0.500)  0.01
K (0.339, 0.339, 0.500)  0.01
K (0.839, 0.161, 0.000)  0.01
Nb (0.393, 0.393, 0.000)  0.21
Nb (0.893, 0.107, 0.500)  0.21
Nb (0.107, 0.893, 0.500)  0.21
Nb (0.607, 0.607, 0.000)  0.21

Summary:
- V (Å³/cell) = 346.18
- crystal system = tetragonal
- space-group type = P4_2/mnm (136)

***

<a> has the most favorable energy; the next structure is 107 meV/atom above.

***

<a>
Compound: KNbNi
Source: Alexandria
Functional: PBE-GGA
Structure: relaxed

abc: 3.427 3.753 12.762
angles: 90.00 97.16 90.00
Atoms (fractional coordinates):
K (0.679, 0.250, 0.333)
K (0.321, 0.750, 0.667)
Nb (0.938, 0.250, 0.903)
Nb (0.062, 0.750, 0.097)
Ni (0.563, 0.250, 0.065)
Ni (0.437, 0.750, 0.935)

Summary:
- V (Å³/cell) = 162.87
- crystal system = monoclinic
- space-group type = P2_1/m (11)

***

<b>
Compound: KNbNi
Source: Alexandria
Functional: PBE-GGA
Structure: relaxed

abc: 3.390 3.391 13.201
angles: 90.00 90.24 90.00
Atoms (fractional coordinates):
K (0.639, 0.000, 0.556)
K (0.106, 0.500, 0.874)
Nb (0.612, 0.000, 0.099)
Nb (0.631, 0.000, 0.291)
Ni (0.122, 0.500, 0.165)
Ni (0.134, 0.500, 0.369)

Summary:
- V (Å³/cell) = 151.77
- crystal system = monoclinic
- space-group type = Pm (6)

***

<c>
Compound: KNbNi
Source: Alexandria
Functional: PBE-GGA
Structure: relaxed

abc: 2.963 3.296 14.599
angles: 90.00 101.81 90.00
Atoms (fractional coordinates):
K (0.627, 0.000, 0.282)
K (0.627, 0.500, 0.782)
Nb (0.362, 0.000, 0.017)
Nb (0.362, 0.500, 0.517)
Ni (0.947, 0.000, 0.600)
Ni (0.947, 0.500, 0.100)

Summary:
- V (Å³/cell) = 139.58
- crystal system = monoclinic
- space-group type = Cm (8)

***

<d>
Compound: KNbNi
Source: Alexandria
Functional: PBE-GGA
Structure: relaxed

abc: 5.525 18.082 2.889
angles: 90.00 104.78 90.00
Atoms (fractional coordinates):
Ni (0.750, 0.400, 0.750)
Ni (0.250, 0.600, 0.250)
Ni (0.750, 0.900, 0.250)
Ni (0.250, 0.100, 0.750)
K (0.750, 0.679, 0.750)
K (0.250, 0.321, 0.250)
K (0.750, 0.179, 0.250)
K (0.250, 0.821, 0.750)
Nb (0.000, 0.000, 0.000)
Nb (0.500, 0.000, 0.500)
Nb (0.000, 0.500, 0.500)
Nb (0.500, 0.500, 0.000)

Summary:
- V (Å³/cell) = 279.14
- crystal system = monoclinic
- space-group type = C2/c (15)

***

<a> has the most favorable energy; the next structure is 56 meV/atom above.

***

<a>
Compound: KNbNi
Source: Alexandria
Functional: PBE-GGA
Structure: relaxed

abc: 3.288 3.290 13.589
angles: 91.15 95.66 90.02
Atoms (fractional coordinates):
K (0.888, 0.280, 0.340)
K (0.112, 0.720, 0.660)
Nb (0.223, 0.744, 0.934)
Nb (0.777, 0.256, 0.066)
Ni (0.689, 0.237, 0.850)
Ni (0.311, 0.763, 0.150)

Summary:
- V (Å³/cell) = 146.25
- crystal system = triclinic
- space-group type = P-1 (2)

***

<b>
Compound: KNbNi
Source: Alexandria
Functional: PBE-GGA
Structure: relaxed

abc: 2.849 4.145 6.288
angles: 90.00 90.20 90.00
Atoms (fractional coordinates):
K (0.754, 0.000, 0.708)
Nb (0.761, 0.500, 0.208)
Ni (0.262, 0.000, 0.207)

Summary:
- V (Å³/cell) = 74.25
- crystal system = monoclinic
- space-group type = Pm (6)

***

<a> has the most favorable energy; the next structure is 432 meV/atom above.

***

<a>
Compound: KNbNi
Source: Alexandria
Functional: PBE-GGA
Structure: relaxed

abc: 2.978 5.509 9.487
angles: 105.07 90.31 105.65
Atoms (fractional coordinates):
K (0.843, 0.179, 0.356)
K (0.157, 0.821, 0.644)
Nb (0.138, 0.776, 0.006)
Nb (0.862, 0.224, 0.994)
Ni (0.461, 0.428, 0.826)
Ni (0.539, 0.572, 0.174)

Summary:
- V (Å³/cell) = 144.22
- crystal system = triclinic
- space-group type = P-1 (2)

***

<b>
Compound: KNbNi
Source: Alexandria
Functional: PBE-GGA
Structure: relaxed

abc: 3.420 4.596 11.986
angles: 92.51 92.36 111.76
Atoms (fractional coordinates):
K (0.903, 0.712, 0.321)
K (0.097, 0.288, 0.679)
Nb (0.831, 0.680, 0.938)
Nb (0.169, 0.320, 0.062)
Ni (0.532, 0.093, 0.900)
Ni (0.468, 0.907, 0.100)

Summary:
- V (Å³/cell) = 174.46
- crystal system = triclinic
- space-group type = P-1 (2)

***

<b> has the most favorable energy; the next structure is 85 meV/atom above.

***

<a>
Compound: KNb2Ni
Source: Alexandria
Functional: PBE-GGA
Structure: relaxed

abc: 5.099 5.099 9.351
angles: 74.18 74.18 90.00
Atoms (fractional coordinates):
Ni (0.000, 0.000, 0.000)
Ni (0.750, 0.250, 0.500)
Nb (0.875, 0.125, 0.250)
Nb (0.875, 0.625, 0.250)
Nb (0.375, 0.125, 0.750)
Nb (0.875, 0.125, 0.750)
K (0.500, 0.500, 0.000)
K (0.250, 0.750, 0.500)

Summary:
- V (Å³/cell) = 224.37
- crystal system = tetragonal
- space-group type = I4_1/amd (141)

***

<b>
Compound: KNb2Ni
Source: Alexandria
Functional: PBE-GGA
Structure: relaxed

abc: 4.638 4.638 4.638
angles: 60.00 60.00 60.00
Atoms (fractional coordinates):
Ni (0.500, 0.500, 0.500)
Nb (0.250, 0.250, 0.250)
Nb (0.750, 0.750, 0.750)
K (0.000, 0.000, 0.000)

Summary:
- V (Å³/cell) = 70.53
- crystal system = cubic
- space-group type = Fm-3m (225)

***

<b> has the most favorable energy; the next structure is 79 meV/atom above.

***

<a>
Compound: KNbNi3
Source: Alexandria
Functional: PBE-GGA
Structure: relaxed

abc: 4.430 4.430 4.430
angles: 90.00 90.00 90.00
Site moments in Bohr magnetons follow the coordinates.
Atoms (fractional coordinates):
Ni (0.000, 0.500, 0.000)  0.16
Ni (0.000, 0.000, 0.500)  0.20
Ni (0.500, 0.000, 0.000)  0.11
Nb (0.500, 0.500, 0.500)  1.30
K (0.000, 0.000, 0.000)  0.01

Summary:
- V (Å³/cell) = 86.94
- crystal system = cubic
- space-group type = Pm-3m (221)

***

<b>
Compound: KNbNi3
Source: Alexandria
Functional: PBE-GGA
Structure: relaxed

abc: 4.740 4.740 4.740
angles: 90.00 90.00 90.00
Atoms (fractional coordinates):
Ni (0.000, 0.500, 0.000)
Ni (0.000, 0.000, 0.500)
Ni (0.500, 0.000, 0.000)
Nb (0.000, 0.000, 0.000)
K (0.500, 0.500, 0.500)

Summary:
- V (Å³/cell) = 106.52
- crystal system = cubic
- space-group type = Pm-3m (221)

***

<b> has the most favorable energy; the next structure is 1088 meV/atom above.

***

<a>
Compound: K2NbNi
Source: Alexandria
Functional: PBE-GGA
Structure: relaxed

abc: 5.624 5.624 5.624
angles: 60.00 60.00 60.00
Site moments in Bohr magnetons follow the coordinates.
Atoms (fractional coordinates):
Ni (0.000, 0.000, 0.000)  -0.57
Nb (0.500, 0.500, 0.500)  3.17
K (0.250, 0.250, 0.250)  0.07
K (0.750, 0.750, 0.750)  0.07

Summary:
- V (Å³/cell) = 125.81
- crystal system = cubic
- space-group type = Fm-3m (225)

***

<b>
Compound: K2NbNi
Source: Alexandria
Functional: PBE-GGA
Structure: relaxed

abc: 12.194 12.194 8.934
angles: 46.96 46.96 90.00
Site moments in Bohr magnetons follow the coordinates.
Atoms (fractional coordinates):
Ni (0.500, 0.500, 0.000)  -0.03
Ni (0.250, 0.750, 0.500)  -0.03
Nb (0.000, 0.000, 0.000)  2.12
Nb (0.750, 0.250, 0.500)  2.12
K (0.461, 0.125, 0.250)  0.02
K (0.289, 0.625, 0.250)  0.02
K (0.375, 0.539, 0.750)  0.02
K (0.875, 0.711, 0.750)  0.02

Summary:
- V (Å³/cell) = 347.65
- crystal system = tetragonal
- space-group type = I-42d (122)

***

<b> has the most favorable energy; the next structure is 492 meV/atom above.

***

<a>
Compound: KNbNi2
Source: Alexandria
Functional: PBE-GGA
Structure: relaxed

abc: 7.245 7.245 6.087
angles: 53.48 53.48 90.00
Atoms (fractional coordinates):
Ni (0.692, 0.125, 0.250)
Ni (0.058, 0.625, 0.250)
Ni (0.375, 0.308, 0.750)
Ni (0.875, 0.942, 0.750)
Nb (0.000, 0.000, 0.000)
Nb (0.750, 0.250, 0.500)
K (0.500, 0.500, 0.000)
K (0.250, 0.750, 0.500)

Summary:
- V (Å³/cell) = 172.58
- crystal system = tetragonal
- space-group type = I-42d (122)

***

<b>
Compound: KNbNi2
Source: Alexandria
Functional: PBE-GGA
Structure: relaxed

abc: 4.605 4.605 4.605
angles: 60.00 60.00 60.00
Atoms (fractional coordinates):
Ni (0.250, 0.250, 0.250)
Ni (0.750, 0.750, 0.750)
Nb (0.500, 0.500, 0.500)
K (0.000, 0.000, 0.000)

Summary:
- V (Å³/cell) = 69.04
- crystal system = cubic
- space-group type = Fm-3m (225)

***

<b> has the most favorable energy; the next structure is 12 meV/atom above.